# 1
# CsRbAuCl | Alexandria | GGA-PBE | optimized geometry
# formation energy from raw total energies = -1.115 eV per atom
data_CsRbAuCl
_symmetry_space_group_name_H-M 'R 3 m'
_symmetry_Int_Tables_number 160
_symmetry_space_group_name_Hall 'R 3 -2"'
_cell_length_a 4.9625
_cell_length_b 4.9625
_cell_length_c 24.8519
_cell_angle_alpha 90.00
_cell_angle_beta 90.00
_cell_angle_gamma 120.00
loop_
_atom_site_label
_atom_site_type_symbol
_atom_site_fract_x
_atom_site_fract_y
_atom_site_fract_z
_atom_site_occupancy
Cs1 Cs 0.0000 0.0000 0.0000 1
Rb1 Rb 0.0000 0.0000 0.4900 1
Au1 Au 0.0000 0.0000 0.2420 1
Cl1 Cl 0.0000 0.0000 0.7499 1


# 2
# CsRhAuCl6 | Alexandria | GGA-PBE | optimized geometry
# formation energy from raw total energies = -0.765 eV per atom
data_CsRhAuCl6
_symmetry_space_group_name_H-M 'P 1'
_symmetry_Int_Tables_number 1
_cell_length_a 6.491
_cell_length_b 6.512
_cell_length_c 7.642
_cell_angle_alpha 91.45
_cell_angle_beta 92.03
_cell_angle_gamma 114.78
loop_
_symmetry_equiv_pos_as_xyz
'x,y,z'
loop_
_atom_site_label
_atom_site_type_symbol
_atom_site_fract_x
_atom_site_fract_y
_atom_site_fract_z
_atom_site_occupancy
Cs1 Cs 0.000 0.000 0.000 1
Rh1 Rh 0.636 0.360 0.498 1
Au1 Au 0.301 0.698 0.499 1
Cl1 Cl 0.349 0.065 0.640 1
Cl2 Cl 0.354 0.406 0.312 1
Cl3 Cl 0.594 0.638 0.688 1
Cl4 Cl 0.650 0.092 0.295 1
Cl5 Cl 0.907 0.339 0.698 1
Cl6 Cl 0.929 0.648 0.357 1


# 3
# CsRuAuCl6 | Alexandria | GGA-PBE | optimized geometry
# formation energy from raw total energies = -0.753 eV per atom
data_CsRuAuCl6
_symmetry_space_group_name_H-M 'P 1'
_symmetry_Int_Tables_number 1
_cell_length_a 6.592
_cell_length_b 7.051
_cell_length_c 7.118
_cell_angle_alpha 112.06
_cell_angle_beta 96.20
_cell_angle_gamma 92.56
loop_
_symmetry_equiv_pos_as_xyz
'x,y,z'
loop_
_atom_site_label
_atom_site_type_symbol
_atom_site_fract_x
_atom_site_fract_y
_atom_site_fract_z
_atom_site_occupancy
Cs1 Cs 0.000 0.000 0.000 1
Ru1 Ru 0.519 0.372 0.626 1
Au1 Au 0.549 0.640 0.231 1
Cl1 Cl 0.216 0.409 0.450 1
Cl2 Cl 0.371 0.125 0.718 1
Cl3 Cl 0.415 0.647 0.921 1
Cl4 Cl 0.611 0.127 0.336 1
Cl5 Cl 0.689 0.641 0.542 1
Cl6 Cl 0.830 0.391 0.823 1


| no. | energy (eV/atom) |
| --- | --- |
| 1 | -2.851 |
| 2 | -3.271 |
| 3 | -3.474 |